## i
! CaDyCdRh, relaxed, DFT GGA-PBE; values from VASP
! Size of the total moment: 0.00 Bohr magnetons per cell
! SG: P4mm
! N(E_F): 4.0 states/eV/cell
! Volume: 23.8 A^3/atom
&SYSTEM
  ibrav = 0, nat = 4, ntyp = 4
/
ATOMIC_SPECIES
Cd 112.41 Cd.upf
Ca 40.08 Ca.upf
Rh 102.91 Rh.upf
Dy 162.50 Dy.upf
CELL_PARAMETERS angstrom
3.567 0.000 0.000
0.000 3.567 0.000
0.000 0.000 7.469
ATOMIC_POSITIONS angstrom
Cd 0.000 0.000 0.635
Ca 1.784 1.784 5.970
Rh 0.000 0.000 4.054
Dy 1.784 1.784 2.670

***

## ii
! CaDyCdRh, relaxed, DFT GGA-PBE; values from VASP
! Size of the total moment: 0.00 Bohr magnetons per cell
! SG: F-43m
! N(E_F): 3.0 states/eV/cell
! Volume: 23.1 A^3/atom
&SYSTEM
  ibrav = 0, nat = 4, ntyp = 4
/
ATOMIC_SPECIES
Ca 40.08 Ca.upf
Cd 112.41 Cd.upf
Dy 162.50 Dy.upf
Rh 102.91 Rh.upf
CELL_PARAMETERS angstrom
-1.160 -2.557 4.224
3.588 -2.628 2.439
1.713 1.614 4.493
ATOMIC_POSITIONS angstrom
Ca 0.000 0.000 0.000
Cd 3.106 -2.678 8.368
Dy 2.071 -1.786 5.578
Rh 1.035 -0.893 2.789

***

Verdict on stability: ii comes out at the bottom.

***

## i
! CaSmDyCd, relaxed, DFT GGA-PBE; values from VASP
! Size of the total moment: 0.00 Bohr magnetons per cell
! SG: F-43m
! N(E_F): 4.7 states/eV/cell
! Volume: 30.1 A^3/atom
&SYSTEM
  ibrav = 0, nat = 4, ntyp = 4
/
ATOMIC_SPECIES
Dy 162.50 Dy.upf
Cd 112.41 Cd.upf
Sm 150.36 Sm.upf
Ca 40.08 Ca.upf
CELL_PARAMETERS angstrom
-5.345 0.855 -1.202
-1.723 -0.197 -5.266
-3.162 -4.215 -1.727
ATOMIC_POSITIONS angstrom
Dy -5.115 -1.778 -4.098
Cd -7.672 -2.667 -6.146
Sm 0.000 0.000 0.000
Ca -2.557 -0.889 -2.049

***

## ii
! CaSmDyCd, relaxed, DFT GGA-PBE; values from VASP
! Size of the total moment: 0.00 Bohr magnetons per cell
! SG: P4mm
! N(E_F): 5.4 states/eV/cell
! Volume: 31.2 A^3/atom
&SYSTEM
  ibrav = 0, nat = 4, ntyp = 4
/
ATOMIC_SPECIES
Cd 112.41 Cd.upf
Sm 150.36 Sm.upf
Dy 162.50 Dy.upf
Ca 40.08 Ca.upf
CELL_PARAMETERS angstrom
3.629 0.000 0.000
0.000 3.629 0.000
0.000 0.000 9.478
ATOMIC_POSITIONS angstrom
Cd 0.000 0.000 5.300
Sm 0.000 0.000 0.872
Dy 1.815 1.815 3.316
Ca 1.815 1.815 7.428

***

Verdict on stability: i comes out at the bottom.

***

## i
! CaErCd4, relaxed, DFT GGA-PBE; values from VASP
! Size of the total moment: 0.00 Bohr magnetons per cell
! SG: C2/m
! N(E_F): 2.3 states/eV/cell
! Volume: 24.9 A^3/atom
&SYSTEM
  ibrav = 0, nat = 6, ntyp = 3
/
ATOMIC_SPECIES
Cd 112.41 Cd.upf
Er 167.26 Er.upf
Ca 40.08 Ca.upf
CELL_PARAMETERS angstrom
-3.494 -0.148 0.218
-1.755 -5.158 -3.487
-1.226 -0.658 8.072
ATOMIC_POSITIONS angstrom
Cd -4.812 -3.097 5.242
Cd -4.909 -5.670 1.939
Cd -1.663 -2.867 -0.438
Cd -1.566 -0.294 2.865
Er -3.237 -2.982 2.402
Ca 0.000 0.000 0.000

***

## ii
! CaErCd4, relaxed, DFT GGA-PBE; values from VASP
! Size of the total moment: 0.00 Bohr magnetons per cell
! SG: P2/m
! N(E_F): 3.2 states/eV/cell
! Volume: 25.0 A^3/atom
&SYSTEM
  ibrav = 0, nat = 6, ntyp = 3
/
ATOMIC_SPECIES
Cd 112.41 Cd.upf
Ca 40.08 Ca.upf
Er 167.26 Er.upf
CELL_PARAMETERS angstrom
3.248 1.297 -0.003
1.422 5.914 -0.003
0.007 0.003 8.648
ATOMIC_POSITIONS angstrom
Cd 3.052 6.550 7.166
Cd 3.047 6.548 1.441
Cd 0.716 2.944 2.887
Cd 0.716 2.945 5.724
Ca 2.343 3.593 8.629
Er 1.427 5.902 4.305

***

Verdict on stability: i comes out at the bottom.

***

## i
! CaNdErCd, relaxed, DFT GGA-PBE; values from VASP
! Size of the total moment: 0.00 Bohr magnetons per cell
! SG: F-43m
! N(E_F): 5.2 states/eV/cell
! Volume: 30.3 A^3/atom
&SYSTEM
  ibrav = 0, nat = 4, ntyp = 4
/
ATOMIC_SPECIES
Cd 112.41 Cd.upf
Nd 144.24 Nd.upf
Er 167.26 Er.upf
Ca 40.08 Ca.upf
CELL_PARAMETERS angstrom
5.556 0.000 0.000
2.778 4.811 0.000
2.778 1.604 4.536
ATOMIC_POSITIONS angstrom
Cd 8.334 4.811 3.402
Nd 5.556 3.208 2.268
Er 0.000 0.000 0.000
Ca 2.778 1.604 1.134

***

## ii
! CaNdErCd, relaxed, DFT GGA-PBE; values from VASP
! Size of the total moment: 0.00 Bohr magnetons per cell
! SG: P4mm
! N(E_F): 5.6 states/eV/cell
! Volume: 31.3 A^3/atom
&SYSTEM
  ibrav = 0, nat = 4, ntyp = 4
/
ATOMIC_SPECIES
Er 167.26 Er.upf
Ca 40.08 Ca.upf
Nd 144.24 Nd.upf
Cd 112.41 Cd.upf
CELL_PARAMETERS angstrom
3.637 0.000 0.000
0.000 3.637 0.000
0.000 0.000 9.460
ATOMIC_POSITIONS angstrom
Er 1.819 1.819 3.340
Ca 1.819 1.819 7.392
Nd 0.000 0.000 0.885
Cd 0.000 0.000 5.266

***

Verdict on stability: i comes out at the bottom.

***

## i
! CaEu2Cd, relaxed, DFT GGA-PBE; values from VASP
! Size of the total moment: 15.64 Bohr magnetons per cell
! SG: P4/mmm
! N(E_F): 3.8 states/eV/cell
! Volume: 35.1 A^3/atom
&SYSTEM
  ibrav = 0, nat = 4, ntyp = 3
/
ATOMIC_SPECIES
Ca 40.08 Ca.upf
Eu 151.96 Eu.upf
Cd 112.41 Cd.upf
CELL_PARAMETERS angstrom
5.226 0.000 0.000
0.000 5.186 0.000
0.000 0.000 5.186
ATOMIC_POSITIONS angstrom
Ca 2.613 2.593 2.593
Eu 0.000 0.000 2.593
Eu 0.000 2.593 0.000
Cd 2.613 0.000 0.000

***

## ii
! CaEu2Cd, relaxed, DFT GGA-PBE; values from VASP
! Size of the total moment: 14.71 Bohr magnetons per cell
! SG: Fm-3m
! N(E_F): 15.1 states/eV/cell
! Volume: 35.1 A^3/atom
&SYSTEM
  ibrav = 0, nat = 4, ntyp = 3
/
ATOMIC_SPECIES
Eu 151.96 Eu.upf
Cd 112.41 Cd.upf
Ca 40.08 Ca.upf
CELL_PARAMETERS angstrom
5.833 0.000 0.000
2.917 5.052 0.000
2.917 1.684 4.763
ATOMIC_POSITIONS angstrom
Eu 2.917 1.684 1.191
Eu 8.750 5.052 3.572
Cd 5.833 3.368 2.381
Ca 0.000 0.000 0.000

***

Verdict on stability: ii comes out at the bottom.

***

## i
! CaEu2Cd, relaxed, DFT GGA-PBE; values from VASP
! Size of the total moment: 15.03 Bohr magnetons per cell
! SG: P4/mmm
! N(E_F): 14.8 states/eV/cell
! Volume: 36.9 A^3/atom
&SYSTEM
  ibrav = 0, nat = 4, ntyp = 3
/
ATOMIC_SPECIES
Eu 151.96 Eu.upf
Ca 40.08 Ca.upf
Cd 112.41 Cd.upf
CELL_PARAMETERS angstrom
3.939 0.000 0.000
0.000 3.939 0.000
0.000 0.000 9.513
ATOMIC_POSITIONS angstrom
Eu 0.000 0.000 1.923
Eu 0.000 0.000 7.589
Ca 1.969 1.969 4.756
Cd 1.969 1.969 0.000

***

## ii
! CaEu2Cd, relaxed, DFT GGA-PBE; values from VASP
! Size of the total moment: 15.53 Bohr magnetons per cell
! SG: R-3m
! N(E_F): 4.7 states/eV/cell
! Volume: 38.8 A^3/atom
&SYSTEM
  ibrav = 0, nat = 4, ntyp = 3
/
ATOMIC_SPECIES
Eu 151.96 Eu.upf
Ca 40.08 Ca.upf
Cd 112.41 Cd.upf
CELL_PARAMETERS angstrom
-2.595 2.782 -0.148
-3.057 -0.126 2.266
4.298 7.116 9.391
ATOMIC_POSITIONS angstrom
Eu -3.841 4.481 4.662
Eu 2.487 5.291 6.847
Ca 0.000 0.000 0.000
Cd -0.677 4.886 5.755

***

Verdict on stability: ii comes out at the bottom.

***

## i
! CaEuCd, relaxed, DFT GGA-PBE; values from VASP
! Size of the total moment: 7.33 Bohr magnetons per cell
! SG: I4mm
! N(E_F): 9.3 states/eV/cell
! Volume: 34.0 A^3/atom
&SYSTEM
  ibrav = 0, nat = 3, ntyp = 3
/
ATOMIC_SPECIES
Ca 40.08 Ca.upf
Eu 151.96 Eu.upf
Cd 112.41 Cd.upf
CELL_PARAMETERS angstrom
-0.849 1.276 -3.559
-1.587 -3.431 -0.852
-4.793 3.303 4.437
ATOMIC_POSITIONS angstrom
Ca -0.321 0.119 0.119
Eu -3.732 1.382 1.386
Cd -3.175 -0.353 -1.479

***

## ii
! CaEuCd, relaxed, DFT GGA-PBE; values from VASP
! Size of the total moment: 8.06 Bohr magnetons per cell
! SG: F-43m
! N(E_F): 8.1 states/eV/cell
! Volume: 38.3 A^3/atom
&SYSTEM
  ibrav = 0, nat = 3, ntyp = 3
/
ATOMIC_SPECIES
Eu 151.96 Eu.upf
Cd 112.41 Cd.upf
Ca 40.08 Ca.upf
CELL_PARAMETERS angstrom
-1.556 -0.754 5.176
3.747 -0.347 3.952
0.526 4.045 3.624
ATOMIC_POSITIONS angstrom
Eu 0.000 0.000 0.000
Cd 0.679 0.736 3.188
Ca 1.358 1.472 6.376

***

Verdict on stability: ii comes out at the bottom.